The following is a PBE calculation of an optimized crystal structure of V4IrOs, from the Alexandria database.

```
V4IrOs
1.0
4.025 0.000 0.000
0.000 4.240 0.000
-0.010 -0.441 5.812
V Ir Os
4 1 1
Direct
0.001 0.479 0.255 V
0.499 0.016 0.238 V
0.501 0.984 0.762 V
0.999 0.521 0.745 V
0.000 0.000 0.500 Ir
0.500 0.500 0.000 Os
```

Computed properties:
Total energy, Ha/atom: -0.3394
Formation enthalpy at 0 K, eV per atom: 0.19
Space group: No. 2



The following is a PBE calculation of an optimized crystal structure of V2Ir3Os3, from the Alexandria database.

```
V2Ir3Os3
1.0
3.831 0.000 0.000
0.000 3.838 0.000
0.000 0.000 7.678
V Ir Os
2 3 3
Direct
0.000 0.000 0.249 V
0.000 0.000 0.751 V
0.000 0.500 0.500 Ir
0.500 0.500 0.250 Ir
0.500 0.500 0.750 Ir
0.000 0.500 0.000 Os
0.500 0.000 0.000 Os
0.500 0.000 0.500 Os
```

Computed properties:
Total energy, Ha/atom: -0.3713
Formation enthalpy at 0 K, eV per atom: -0.29
Space group: No. 47



Table of magnetization (μB per formula unit), in record order: 0.001 0.000